# 1
VASP calculation (GGA-PBEsol) on a relaxed structure of K2Cu5Te5.

Cell: 4.0379 15.8883 18.3939 Å, 90.00 90.00 90.00°
With the nearest neighbours (Å) after each atom.
Space group Cmcm (No. 63)
One atom of each set of equivalent atoms:
K  0.0000  0.0131  0.1184  8 Te 3.51-3.73, 1 Cu 3.91
Cu  0.0000  0.1798  0.7500  4 Te 2.53-2.57, 4 Cu 2.79
Cu  0.0000  0.2246  0.5441  4 Te 2.57-2.62, 4 Cu 2.71-2.79
Cu  0.0000  0.2965  0.1470  4 Te 2.62-2.68, 4 Cu 2.79
Te  0.0000  0.3086  0.6658  4 Cu 2.57-2.64
Te  0.0000  0.3717  0.0202  4 Cu 2.57-2.62
Te  0.0000  0.4161  0.2500  4 Cu 2.53-2.68

Calculated values
Uncorrected formation energy: -4.0 eV per formula unit
ρ: 5.8 Mg/m³

# 2
VASP calculation (GGA-PBEsol) on a relaxed structure of ZnBiNO2.

Cell: 4.1189 4.1189 4.2951 Å, 90.00 90.00 90.00°
With the nearest neighbours (Å) after each atom.
Space group P4/mmm (No. 123)
One atom of each set of equivalent atoms:
Zn  0.0000  0.0000  0.0000  4 N 2.91, 8 O 2.98
Bi  0.5000  0.5000  0.5000  4 O 2.06, 2 N 2.15
N  0.5000  0.5000  0.0000  2 Bi 2.15
O  0.0000  0.5000  0.5000  2 Bi 2.06

Calculated values
Uncorrected formation energy: 2.1 eV per formula unit
ρ: 7.3 Mg/m³

# 3
VASP calculation (GGA-PBEsol) on a relaxed structure of MgP2SeS.

Cell: 4.7006 4.7006 4.7954 Å, 90.00 90.00 90.00°
With the nearest neighbours (Å) after each atom.
Space group P4/mmm (No. 123)
One atom of each set of equivalent atoms:
Mg  0.0000  0.0000  0.0000  4 S 3.32, 8 P 3.36
P  0.0000  0.5000  0.5000  2 Se 2.35
Se  0.5000  0.5000  0.5000  4 P 2.35, 2 S 2.40
S  0.5000  0.5000  0.0000  2 Se 2.40

Calculated values
Uncorrected formation energy: 3.1 eV per formula unit
ρ: 3.1 Mg/m³